Entry 1:
Compound: AcPm12Ni5
Source: the Alexandria database
Functional: PBE
Structure: optimized geometry

extended XYZ file:
```
18
Lattice="8.096 -0.039 -3.193 -4.195 7.215 -2.468 -0.102 0.039 8.702" Properties=species:S:1:pos:R:3 pbc="T T T"
Ni 3.475 0.882 3.513
Pm -2.702 7.149 3.920
Ni 1.430 2.630 -2.074
Pm 2.643 4.895 -0.696
Pm 0.744 5.963 2.393
Pm 1.156 2.320 3.738
Ni 0.000 0.000 0.000
Pm -2.501 5.963 0.157
Pm -0.392 4.934 5.984
Pm 6.300 1.253 2.885
Pm 6.501 0.066 -0.879
Ni 0.325 6.333 -0.471
Ni 2.472 4.547 -3.586
Ac -2.148 3.627 3.117
Pm 4.191 2.281 -2.943
Pm 3.927 4.412 2.856
Pm 3.055 1.253 0.648
Pm -0.128 2.804 0.185
```

Summary:
**Symmetry**: Immm
**DFT formation energy**: -267 kJ/mol of formula units


Entry 2:
Compound: Tc3TeMo
Source: the Alexandria database
Functional: PBE
Structure: optimized geometry

extended XYZ file:
```
5
Lattice="-1.626 -4.306 -1.024 3.120 -0.342 -3.518 3.138 -1.891 2.967" Properties=species:S:1:pos:R:3 pbc="T T T"
Tc -0.813 -2.153 -0.512
Tc 1.560 -0.171 -1.759
Te 0.000 0.000 0.000
Tc 1.569 -0.946 1.484
Mo 2.316 -3.269 -0.787
```

Summary:
**E_form (uncorrected)**: 2.12 eV/atom
**Polymorph energy (0 for the lowest one)**: 0.504 eV/atom
**Symmetry**: Pm-3m


Entry 3:
Compound: SrPHOs2
Source: the Alexandria database
Functional: PBE
Structure: optimized geometry

extended XYZ file:
```
5
Lattice="3.966 0.000 0.000 0.000 4.772 0.000 0.000 0.000 3.966" Properties=species:S:1:pos:R:3 pbc="T T T"
Sr 0.000 2.386 0.000
Os 1.983 0.000 0.000
P 1.983 2.386 1.983
Os 0.000 0.000 1.983
H 0.000 0.000 0.000
```

Summary:
**E_tot**: -29.6 eV for the cell shown
**Symmetry**: P4/mmm


Entry 4:
Compound: Ce4Bi2TeSe
Source: the Alexandria database
Functional: PBE
Structure: optimized geometry

extended XYZ file:
```
8
Lattice="4.469 0.000 0.000 0.000 7.769 -0.162 0.000 2.726 7.257" Properties=species:S:1:pos:R:3 pbc="T T T"
Ce 0.000 7.776 5.428
Ce 4.469 2.718 1.667
Ce 2.235 4.089 5.438
Bi 2.235 1.363 3.629
Te 0.000 5.247 3.547
Ce 2.235 6.405 1.657
Bi 0.000 2.726 7.257
Se 2.235 3.884 -0.081
```

Summary:
**E_form (uncorrected)**: -1.17 eV/atom
**Symmetry**: P2/m


Entry 5:
Compound: Li5MgZn
Source: the Alexandria database
Functional: PBE
Structure: optimized geometry

extended XYZ file:
```
7
Lattice="-2.226 -2.421 -2.091 0.157 -2.628 2.875 -7.388 3.602 3.695" Properties=species:S:1:pos:R:3 pbc="T T T"
Li -3.694 1.801 1.848
Li -3.069 -0.257 -0.068
Zn -4.729 -0.723 2.239
Li -6.389 -1.190 4.546
Li -7.580 -1.086 2.063
Li -1.877 -0.360 2.415
Mg 0.000 0.000 0.000
```

Summary:
**Polymorph energy (0 for the lowest one)**: 0.053 eV/atom
**Symmetry**: P4/mmm
**DFT formation energy**: 13 kJ/mol of formula units


Entry 6:
Compound: Nd3ErHg2
Source: the Alexandria database
Functional: PBE
Structure: optimized geometry

extended XYZ file:
```
12
Lattice="5.291 0.000 0.000 0.000 7.045 0.000 0.000 0.000 9.583" Properties=species:S:1:pos:R:3 pbc="T T T"
Er 2.645 3.620 5.283
Nd 2.645 1.253 7.880
Nd 0.000 5.771 6.412
Hg 0.000 1.928 6.223
Er 2.645 0.098 4.299
Nd 0.000 2.249 3.171
Hg 2.645 5.128 8.111
Nd 2.645 4.775 1.702
Hg 2.645 1.606 1.472
Hg 0.000 5.451 3.360
Nd 0.000 3.433 9.090
Nd 0.000 6.956 0.492
```

Summary:
**Polymorph energy (0 for the lowest one)**: 0.000 eV/atom
**Symmetry**: Pmc2_1
**DFT formation energy**: -189 kJ/mol of formula units


Entry 7:
Compound: SmThInPb
Source: the Alexandria database
Functional: PBE
Structure: optimized geometry

extended XYZ file:
```
4
Lattice="-2.991 3.115 -3.422 -0.690 -1.548 -5.242 -4.928 -1.757 -1.728" Properties=species:S:1:pos:R:3 pbc="T T T"
Sm -4.304 -0.095 -5.196
In -2.152 -0.048 -2.598
Pb -6.456 -0.143 -7.794
Th 0.000 0.000 0.000
```

Summary:
**Symmetry**: F-43m
**DFT formation energy**: -111 kJ/mol of formula units


Entry 8:
Compound: LaYNF2
Source: the Alexandria database
Functional: PBE
Structure: optimized geometry

extended XYZ file:
```
5
Lattice="4.346 0.000 0.000 0.000 4.346 0.000 0.000 0.000 4.680" Properties=species:S:1:pos:R:3 pbc="T T T"
Y 0.000 0.000 0.000
F 0.000 2.173 0.000
La 2.173 2.173 2.340
F 2.173 0.000 0.000
N 0.000 0.000 2.340
```

Summary:
**E_form (uncorrected)**: -2.25 eV/atom
**Polymorph energy (0 for the lowest one)**: 0.000 eV/atom
**Symmetry**: P4/mmm


Entry 9:
Compound: ReHOsRh2
Source: the Alexandria database
Functional: PBE
Structure: optimized geometry

extended XYZ file:
```
5
Lattice="-0.553 -1.365 3.571 0.812 -3.568 -1.238 3.867 0.593 0.825" Properties=species:S:1:pos:R:3 pbc="T T T"
H 0.000 0.000 0.000
Os 1.933 0.297 0.413
Rh 0.406 -1.784 -0.619
Rh -0.276 -0.682 1.786
Re 2.063 -2.170 1.579
```

Summary:
**E_tot**: -41.1 eV for the cell shown
**Symmetry**: P4/mmm


Entry 10:
Compound: DyTlSeS
Source: the Alexandria database
Functional: PBE
Structure: optimized geometry

extended XYZ file:
```
4
Lattice="4.089 -0.001 0.000 -2.044 3.541 0.000 -2.044 -1.180 7.782" Properties=species:S:1:pos:R:3 pbc="T T T"
Tl 2.431 0.921 2.862
S -1.658 3.282 0.464
Se 0.386 -0.259 5.155
Dy -1.658 0.922 6.847
```

Summary:
**E_form (uncorrected)**: -1.42 eV/atom
**Symmetry**: R3m


no.,N(E_F) (states/eV/cell)
1,19.8
2,12.9
3,3.7
4,28.1
5,4.1
6,6.8
7,4.8
8,3.4
9,4.3
10,0.0